! SrTa2W | the Alexandria database | PBE | relaxed; values from VASP
&SYSTEM
  ibrav = 0, nat = 4, ntyp = 3
/
ATOMIC_SPECIES
Sr 87.62 Sr.upf
Ta 180.95 Ta.upf
W 183.84 W.upf
CELL_PARAMETERS angstrom
4.5242 0.0000 0.0000
0.0000 2.9564 -0.2807
0.0000 0.7485 6.9174
ATOMIC_POSITIONS angstrom
Sr 2.2621 3.2378 4.8550
Ta 0.0000 2.4466 0.3516
Ta 2.2621 0.9033 1.6983
W 0.0000 1.9260 2.7695
! - Magnetization: 0.00 Bohr magnetons per cell
! - E above lowest polymorph: 12.04 kJ/mol of atoms
! - Crystal system: monoclinic
! - E_form: 0.696 eV/atom
! - DOS at the Fermi energy: 0.83 states/eV/atom

***

! HgMo2Pb | the Alexandria database | PBE | relaxed; values from VASP
&SYSTEM
  ibrav = 0, nat = 4, ntyp = 3
/
ATOMIC_SPECIES
Hg 200.59 Hg.upf
Mo 95.94 Mo.upf
Pb 207.20 Pb.upf
CELL_PARAMETERS angstrom
2.9508 0.0250 0.0000
-0.9175 2.8047 0.0000
0.0000 0.0000 9.3505
ATOMIC_POSITIONS angstrom
Hg 1.0167 1.4148 7.0129
Mo 0.0000 0.0000 9.3253
Mo 0.0000 0.0000 4.7005
Pb 1.0167 1.4148 2.3376
! - Magnetization: 0.00 Bohr magnetons per cell
! - E above lowest polymorph: 45.60 kJ/mol of atoms
! - Crystal system: orthorhombic
! - E_form: 0.869 eV/atom
! - DOS at the Fermi energy: 0.92 states/eV/atom

***

! NdErMgIn | the Alexandria database | PBE | relaxed; values from VASP
&SYSTEM
  ibrav = 0, nat = 4, ntyp = 4
/
ATOMIC_SPECIES
Mg 24.30 Mg.upf
In 114.82 In.upf
Nd 144.24 Nd.upf
Er 167.26 Er.upf
CELL_PARAMETERS angstrom
5.3738 0.0000 0.0000
2.6869 4.6539 0.0000
2.6869 1.5513 4.3877
ATOMIC_POSITIONS angstrom
Mg 0.0000 0.0000 0.0000
In 5.3738 3.1026 2.1938
Nd 8.0607 4.6539 3.2908
Er 2.6869 1.5513 1.0969
! - Magnetization: 0.00 Bohr magnetons per cell
! - Crystal system: cubic
! - E_form: -0.319 eV/atom
! - DOS at the Fermi energy: 0.67 states/eV/atom

***

! MgBe2Cd | the Alexandria database | PBE | relaxed; values from VASP
&SYSTEM
  ibrav = 0, nat = 4, ntyp = 3
/
ATOMIC_SPECIES
Be 9.01 Be.upf
Mg 24.30 Mg.upf
Cd 112.41 Cd.upf
CELL_PARAMETERS angstrom
-0.9608 0.9760 -3.7902
-0.9762 -3.8401 -0.7362
-3.4267 0.6714 1.0415
ATOMIC_POSITIONS angstrom
Be 0.0000 0.0000 0.0000
Be -0.9685 -1.4320 -2.2632
Mg -2.2014 -1.5843 0.1527
Cd -2.1937 0.8237 -1.3743
! - Magnetization: 0.00 Bohr magnetons per cell
! - E above lowest polymorph: 11.68 kJ/mol of atoms
! - Crystal system: tetragonal
! - E_form: 0.412 eV/atom
! - DOS at the Fermi energy: 0.23 states/eV/atom